Record 1
A relaxed LiSnSb crystal. Source: Alexandria via LeMat-Bulk, functional PBE.

Structure (CIF):
```
data_LiSnSb
_space_group_name_H-M_alt 'P 1'
_space_group_IT_number 1
_cell_length_a 6.888
_cell_length_b 6.635
_cell_length_c 6.806
_cell_angle_alpha 107.28
_cell_angle_beta 90.00
_cell_angle_gamma 90.00
loop_
_space_group_symop_operation_xyz
'x,y,z'
loop_
_atom_site_label
_atom_site_fract_x
_atom_site_fract_y
_atom_site_fract_z
_atom_site_occupancy
Sb1 0.950 0.657 0.870 1
Sb2 0.450 0.343 0.630 1
Sb3 0.050 0.343 0.130 1
Sb4 0.550 0.657 0.370 1
Sn1 0.811 0.981 0.635 1
Sn2 0.311 0.019 0.865 1
Sn3 0.689 0.981 0.135 1
Sn4 0.189 0.019 0.365 1
Li1 0.673 0.371 0.983 1
Li2 0.327 0.629 0.017 1
Li3 0.827 0.371 0.483 1
Li4 0.173 0.629 0.517 1
```

Results
VASP energy (eV/atom): -3.5368
Energy relative to the elements, uncorrected (meV per atom): -190
E above lowest polymorph (eV per atom): 0.069
V (Å³ per atom): 24.8
Symmetry: P2_1/c, No. 14

***

Record 2
A relaxed Li4SnSb crystal. Source: Alexandria via LeMat-Bulk, functional PBE.

Structure (CIF):
```
data_Li4SnSb
_space_group_name_H-M_alt 'P 1'
_space_group_IT_number 1
_cell_length_a 4.569
_cell_length_b 4.570
_cell_length_c 6.725
_cell_angle_alpha 89.99
_cell_angle_beta 90.00
_cell_angle_gamma 90.00
loop_
_space_group_symop_operation_xyz
'x,y,z'
loop_
_atom_site_label
_atom_site_fract_x
_atom_site_fract_y
_atom_site_fract_z
_atom_site_occupancy
Sn1 0.501 0.497 0.998 1
Li1 0.001 0.497 0.275 1
Li2 0.501 0.997 0.275 1
Li3 0.001 0.497 0.721 1
Li4 0.501 0.997 0.721 1
Sb1 0.001 0.997 0.498 1
```

Results
VASP energy (eV/atom): -2.8651
Energy relative to the elements, uncorrected (meV per atom): -235
E above lowest polymorph (eV per atom): 0.142
V (Å³ per atom): 23.4
Symmetry: P4/mmm, No. 123

***

Record 3
A relaxed LiSnSb crystal. Source: Alexandria via LeMat-Bulk, functional PBE.

Structure (CIF):
```
data_LiSnSb
_space_group_name_H-M_alt 'P 1'
_space_group_IT_number 1
_cell_length_a 9.121
_cell_length_b 9.121
_cell_length_c 8.534
_cell_angle_alpha 90.00
_cell_angle_beta 90.00
_cell_angle_gamma 120.00
loop_
_space_group_symop_operation_xyz
'x,y,z'
loop_
_atom_site_label
_atom_site_fract_x
_atom_site_fract_y
_atom_site_fract_z
_atom_site_occupancy
Li1 0.174 0.348 0.403 1
Li2 0.826 0.652 0.903 1
Li3 0.652 0.826 0.403 1
Li4 0.348 0.174 0.903 1
Li5 0.826 0.174 0.903 1
Li6 0.333 0.667 0.542 1
Li7 0.667 0.333 0.042 1
Li8 0.174 0.826 0.403 1
Sn1 0.335 0.167 0.246 1
Sn2 0.167 0.833 0.746 1
Sn3 0.665 0.833 0.746 1
Sn4 0.667 0.333 0.673 1
Sn5 0.833 0.167 0.246 1
Sn6 0.167 0.335 0.746 1
Sn7 0.333 0.667 0.173 1
Sn8 0.833 0.665 0.246 1
Sb1 0.481 0.963 0.954 1
Sb2 0.519 0.481 0.454 1
Sb3 0.000 0.000 0.946 1
Sb4 0.037 0.519 0.954 1
Sb5 0.481 0.519 0.954 1
Sb6 0.963 0.481 0.454 1
Sb7 0.519 0.037 0.454 1
Sb8 0.000 0.000 0.446 1
```

Results
VASP energy (eV/atom): -3.5205
Energy relative to the elements, uncorrected (meV per atom): -174
E above lowest polymorph (eV per atom): 0.085
V (Å³ per atom): 25.6
Symmetry: P6_3mc, No. 186

***

Record 4
A relaxed Li3SnSb crystal. Source: Alexandria via LeMat-Bulk, functional PBE.

Structure (CIF):
```
data_Li3SnSb
_space_group_name_H-M_alt 'P 1'
_space_group_IT_number 1
_cell_length_a 5.080
_cell_length_b 5.080
_cell_length_c 5.080
_cell_angle_alpha 90.00
_cell_angle_beta 90.00
_cell_angle_gamma 90.00
loop_
_space_group_symop_operation_xyz
'x,y,z'
loop_
_atom_site_label
_atom_site_fract_x
_atom_site_fract_y
_atom_site_fract_z
_atom_site_occupancy
Sb1 0.000 0.000 0.000 1
Li1 0.000 0.000 0.500 1
Li2 0.500 0.000 0.000 1
Li3 0.000 0.500 0.000 1
Sn1 0.500 0.500 0.500 1
```

Results
VASP energy (eV/atom): -2.8297
Energy relative to the elements, uncorrected (meV per atom): -56
E above lowest polymorph (eV per atom): 0.385
V (Å³ per atom): 26.2
Symmetry: Pm-3m, No. 221

***

Record 5
A relaxed Li8SnSb2 crystal. Source: Alexandria via LeMat-Bulk, functional PBE.

Structure (CIF):
```
data_Li8SnSb2
_space_group_name_H-M_alt 'P 1'
_space_group_IT_number 1
_cell_length_a 4.680
_cell_length_b 7.577
_cell_length_c 7.429
_cell_angle_alpha 121.43
_cell_angle_beta 108.36
_cell_angle_gamma 90.00
loop_
_space_group_symop_operation_xyz
'x,y,z'
loop_
_atom_site_label
_atom_site_fract_x
_atom_site_fract_y
_atom_site_fract_z
_atom_site_occupancy
Li1 0.664 0.868 0.328 1
Li2 0.987 0.275 0.975 1
Li3 0.150 0.190 0.299 1
Li4 0.013 0.725 0.025 1
Li5 0.336 0.132 0.672 1
Li6 0.850 0.810 0.701 1
Li7 0.357 0.557 0.714 1
Li8 0.643 0.443 0.286 1
Sb1 0.800 0.313 0.600 1
Sb2 0.200 0.687 0.400 1
Sn1 0.500 0.000 0.000 1
```

Results
VASP energy (eV/atom): -3.0171
Energy relative to the elements, uncorrected (meV per atom): -512
V (Å³ per atom): 19.0
Symmetry: C2/m, No. 12

***

Record 6
A relaxed Sr2Li4SnSb3 crystal. Source: Alexandria via LeMat-Bulk, functional PBE.

Structure (CIF):
```
data_Sr2Li4SnSb3
_space_group_name_H-M_alt 'P 1'
_space_group_IT_number 1
_cell_length_a 4.564
_cell_length_b 4.564
_cell_length_c 12.132
_cell_angle_alpha 90.00
_cell_angle_beta 90.00
_cell_angle_gamma 90.00
loop_
_space_group_symop_operation_xyz
'x,y,z'
loop_
_atom_site_label
_atom_site_fract_x
_atom_site_fract_y
_atom_site_fract_z
_atom_site_occupancy
Li1 0.000 0.000 0.000 1
Li2 0.500 0.500 0.000 1
Li3 0.000 0.500 0.359 1
Li4 0.500 0.000 0.641 1
Sr1 0.500 0.000 0.240 1
Sr2 0.000 0.500 0.760 1
Sb1 0.500 0.000 0.861 1
Sb2 0.000 0.500 0.139 1
Sb3 0.000 0.000 0.500 1
Sn1 0.500 0.500 0.500 1
```

Results
VASP energy (eV/atom): -3.4592
Energy relative to the elements, uncorrected (meV per atom): -720
V (Å³ per atom): 25.3
Symmetry: P-4m2, No. 115

***

Record 7
A relaxed LiTcSnSb crystal. Source: Alexandria via LeMat-Bulk, functional PBE.

Structure (CIF):
```
data_LiTcSnSb
_space_group_name_H-M_alt 'P 1'
_space_group_IT_number 1
_cell_length_a 4.686
_cell_length_b 4.686
_cell_length_c 4.686
_cell_angle_alpha 60.00
_cell_angle_beta 60.00
_cell_angle_gamma 60.00
loop_
_space_group_symop_operation_xyz
'x,y,z'
loop_
_atom_site_label
_atom_site_fract_x
_atom_site_fract_y
_atom_site_fract_z
_atom_site_occupancy
Sn1 0.250 0.250 0.250 1
Tc1 0.500 0.500 0.500 1
Li1 0.000 0.000 0.000 1
Sb1 0.750 0.750 0.750 1
```

Results
VASP energy (eV/atom): -5.1146
Energy relative to the elements, uncorrected (meV per atom): -13
V (Å³ per atom): 18.2
Symmetry: F-43m, No. 216

***

Record 8
A relaxed LiSn2SbTe4 crystal. Source: Alexandria via LeMat-Bulk, functional PBE.

Structure (CIF):
```
data_LiSn2SbTe4
_space_group_name_H-M_alt 'P 1'
_space_group_IT_number 1
_cell_length_a 4.450
_cell_length_b 7.624
_cell_length_c 7.628
_cell_angle_alpha 109.07
_cell_angle_beta 90.00
_cell_angle_gamma 90.00
loop_
_space_group_symop_operation_xyz
'x,y,z'
loop_
_atom_site_label
_atom_site_fract_x
_atom_site_fract_y
_atom_site_fract_z
_atom_site_occupancy
Te1 0.000 0.258 0.762 1
Te2 0.000 0.742 0.238 1
Te3 0.500 0.746 0.762 1
Te4 0.500 0.254 0.238 1
Sn1 0.500 0.000 0.500 1
Sn2 0.000 0.500 0.500 1
Li1 0.500 0.500 0.000 1
Sb1 0.000 0.000 0.000 1
```

Results
VASP energy (eV/atom): -3.6763
Energy relative to the elements, uncorrected (meV per atom): -350
V (Å³ per atom): 30.6
Symmetry: P2/m, No. 10

***

Record 9
A relaxed Li2SnSbTe4 crystal. Source: Alexandria via LeMat-Bulk, functional PBE.

Structure (CIF):
```
data_Li2SnSbTe4
_space_group_name_H-M_alt 'P 1'
_space_group_IT_number 1
_cell_length_a 4.290
_cell_length_b 7.424
_cell_length_c 7.514
_cell_angle_alpha 109.37
_cell_angle_beta 90.00
_cell_angle_gamma 90.00
loop_
_space_group_symop_operation_xyz
'x,y,z'
loop_
_atom_site_label
_atom_site_fract_x
_atom_site_fract_y
_atom_site_fract_z
_atom_site_occupancy
Te1 0.500 0.744 0.738 1
Te2 0.500 0.256 0.262 1
Te3 0.000 0.249 0.740 1
Te4 0.000 0.751 0.260 1
Sn1 0.000 0.000 0.000 1
Li1 0.500 0.000 0.500 1
Li2 0.000 0.500 0.500 1
Sb1 0.500 0.500 0.000 1
```

Results
VASP energy (eV/atom): -3.5319
Energy relative to the elements, uncorrected (meV per atom): -467
V (Å³ per atom): 28.2
Symmetry: P2/m, No. 10

***

Record 10
A relaxed LiVSn2Sb crystal. Source: Alexandria via LeMat-Bulk, functional PBE.

Structure (CIF):
```
data_LiVSn2Sb
_space_group_name_H-M_alt 'P 1'
_space_group_IT_number 1
_cell_length_a 5.171
_cell_length_b 5.138
_cell_length_c 5.171
_cell_angle_alpha 90.00
_cell_angle_beta 90.00
_cell_angle_gamma 90.00
loop_
_space_group_symop_operation_xyz
'x,y,z'
loop_
_atom_site_label
_atom_site_fract_x
_atom_site_fract_y
_atom_site_fract_z
_atom_site_occupancy
Sn1 0.000 0.000 0.500 1
Sn2 0.500 0.000 0.000 1
V1 0.000 0.000 0.000 1
Sb1 0.000 0.500 0.000 1
Li1 0.500 0.500 0.500 1
```

Results
VASP energy (eV/atom): -4.5193
Energy relative to the elements, uncorrected (meV per atom): 113
V (Å³ per atom): 27.5
Symmetry: P4/mmm, No. 123

***

Record 11
A relaxed LiVSnSb2 crystal. Source: Alexandria via LeMat-Bulk, functional PBE.

Structure (CIF):
```
data_LiVSnSb2
_space_group_name_H-M_alt 'P 1'
_space_group_IT_number 1
_cell_length_a 4.976
_cell_length_b 4.830
_cell_length_c 4.976
_cell_angle_alpha 90.00
_cell_angle_beta 90.00
_cell_angle_gamma 90.00
loop_
_space_group_symop_operation_xyz
'x,y,z'
loop_
_atom_site_label
_atom_site_fract_x
_atom_site_fract_y
_atom_site_fract_z
_atom_site_occupancy
Sb1 0.000 0.000 0.500 1
Sb2 0.500 0.000 0.000 1
Li1 0.000 0.000 0.000 1
V1 0.500 0.500 0.500 1
Sn1 0.000 0.500 0.000 1
```

Results
VASP energy (eV/atom): -3.8472
Energy relative to the elements, uncorrected (meV per atom): 809
V (Å³ per atom): 23.9
Symmetry: P4/mmm, No. 123

***

Record 12
A relaxed Sr2LiSb crystal. Source: Alexandria via LeMat-Bulk, functional PBE.

Structure (CIF):
```
data_Sr2LiSb
_space_group_name_H-M_alt 'P 1'
_space_group_IT_number 1
_cell_length_a 4.247
_cell_length_b 4.247
_cell_length_c 8.032
_cell_angle_alpha 90.00
_cell_angle_beta 90.00
_cell_angle_gamma 89.97
loop_
_space_group_symop_operation_xyz
'x,y,z'
loop_
_atom_site_label
_atom_site_fract_x
_atom_site_fract_y
_atom_site_fract_z
_atom_site_occupancy
Li1 0.000 0.000 0.554 1
Sr1 0.000 0.000 0.927 1
Sr2 0.500 0.500 0.306 1
Sb1 0.500 0.500 0.712 1
```

Results
VASP energy (eV/atom): -2.7344
Energy relative to the elements, uncorrected (meV per atom): -384
V (Å³ per atom): 36.2
Symmetry: P4mm, No. 99

***

Q: What is the formula in the fifth record?
A: Li8SnSb2

***

Q: Which of these has the lowest V?
A: LiTcSnSb

***

Q: Among the records above, which one has the highest energy relative to the elements, uncorrected?
A: LiVSnSb2